# SiIrRh2, optimized geometry, DFT GGA-PBE
data_SiIrRh2
_chemical_formula_sum 'Si1 Ir1 Rh2'
_cell_length_a 2.8081
_cell_length_b 2.8081
_cell_length_c 6.9512
_cell_angle_alpha 90.00
_cell_angle_beta 90.00
_cell_angle_gamma 90.00
_symmetry_space_group_name_H-M 'P 1'
_symmetry_Int_Tables_number 1
_symmetry_space_group_name_Hall 'P 1'
loop_
_atom_site_label
_atom_site_type_symbol
_atom_site_fract_x
_atom_site_fract_y
_atom_site_fract_z
Si1 Si 0.0000 0.0000 0.0000
Ir1 Ir 0.0000 0.0000 0.5000
Rh1 Rh 0.5000 0.5000 0.2127
Rh2 Rh 0.5000 0.5000 0.7873
# E_tot   -7.570 eV per atom
# DOS(E_F)   5.92 states/eV/cell
# Raw formation energy   -0.323 eV per atom